The following is a GGA-PBE calculation of an optimized crystal structure of PaSn2Pd7, from the Alexandria database.

Cell lengths 7.707, 7.707, 4.357 Å; angles 90.00, 90.00, 121.56 degrees
Positions (direct):
Pa  0.000  0.000  0.000
Sn  0.306  0.694  0.500
Sn  0.694  0.306  0.500
Pd  0.075  0.286  0.500
Pd  0.198  0.802  0.000
Pd  0.286  0.075  0.500
Pd  0.500  0.500  0.500
Pd  0.714  0.925  0.500
Pd  0.802  0.198  0.000
Pd  0.925  0.714  0.500

Properties
E_form ... -0.2719 eV/atom
Magnetization ... 0.0 μB per formula unit